1.
Computed, not measured: a relaxed structure of SiHCBr2 at the PBE level of DFT.

The structure in CIF format:
```
data_SiHCBr2
_chemical_formula_sum 'Si1 H1 C1 Br2'
_cell_length_a 5.022
_cell_length_b 5.022
_cell_length_c 3.123
_cell_angle_alpha 90.00
_cell_angle_beta 90.00
_cell_angle_gamma 90.00
_symmetry_space_group_name_H-M 'P 4/m m m'
_symmetry_Int_Tables_number 123
_symmetry_space_group_name_Hall '-P 4 2'
loop_
_atom_site_label
_atom_site_type_symbol
_atom_site_fract_x
_atom_site_fract_y
_atom_site_fract_z
_atom_site_occupancy
Si1 Si 0.000 0.000 0.000 1
H1 H 0.500 0.500 0.000 1
C1 C 0.500 0.500 0.500 1
Br1 Br 0.000 0.500 0.500 1
```

Values from the calculation:
* size of the total moment: 0.000 μB per formula unit
* theoretical density: 4.236 g/cm³
* E_tot: -3.071 eV/atom
* calculated volume: 15.75 Å³ per atom

***

2.
Computed, not measured: a relaxed structure of TaH2CBr at the PBE level of DFT.

The structure in CIF format:
```
data_TaH2CBr
_chemical_formula_sum 'Ta1 H2 C1 Br1'
_cell_length_a 3.614
_cell_length_b 3.614
_cell_length_c 5.063
_cell_angle_alpha 90.00
_cell_angle_beta 90.00
_cell_angle_gamma 90.00
_symmetry_space_group_name_H-M 'P 4/m m m'
_symmetry_Int_Tables_number 123
_symmetry_space_group_name_Hall '-P 4 2'
loop_
_atom_site_label
_atom_site_type_symbol
_atom_site_fract_x
_atom_site_fract_y
_atom_site_fract_z
_atom_site_occupancy
Ta1 Ta 0.000 0.000 0.000 1
H1 H 0.000 0.500 0.000 1
C1 C 0.500 0.500 0.500 1
Br1 Br 0.000 0.000 0.500 1
```

Values from the calculation:
* size of the total moment: 0.000 μB per formula unit
* theoretical density: 6.902 g/cm³
* E_tot: -4.373 eV/atom
* calculated volume: 13.23 Å³ per atom

***

3.
Computed, not measured: a relaxed structure of TaHCBr2 at the PBE level of DFT.

The structure in CIF format:
```
data_TaHCBr2
_chemical_formula_sum 'Ta1 H1 C1 Br2'
_cell_length_a 4.881
_cell_length_b 4.881
_cell_length_c 3.023
_cell_angle_alpha 90.00
_cell_angle_beta 90.00
_cell_angle_gamma 90.00
_symmetry_space_group_name_H-M 'P 4/m m m'
_symmetry_Int_Tables_number 123
_symmetry_space_group_name_Hall '-P 4 2'
loop_
_atom_site_label
_atom_site_type_symbol
_atom_site_fract_x
_atom_site_fract_y
_atom_site_fract_z
_atom_site_occupancy
Ta1 Ta 0.000 0.000 0.000 1
H1 H 0.500 0.500 0.500 1
C1 C 0.500 0.500 0.000 1
Br1 Br 0.000 0.500 0.500 1
```

Values from the calculation:
* size of the total moment: 0.000 μB per formula unit
* theoretical density: 8.158 g/cm³
* E_tot: -4.065 eV/atom
* calculated volume: 14.40 Å³ per atom

***

4.
Computed, not measured: a relaxed structure of Tb6HC2Br3 at the PBE level of DFT.

The structure in CIF format:
```
data_Tb6HC2Br3
_chemical_formula_sum 'Tb12 H2 C4 Br6'
_cell_length_a 6.432
_cell_length_b 11.114
_cell_length_c 7.455
_cell_angle_alpha 90.00
_cell_angle_beta 106.88
_cell_angle_gamma 90.00
_symmetry_space_group_name_H-M 'C 1 2/m 1'
_symmetry_Int_Tables_number 12
loop_
_symmetry_equiv_pos_as_xyz
'x,y,z'
'-x,-y,-z'
'-x,y,-z'
'x,-y,z'
'x+1/2,y+1/2,z'
'-x+1/2,-y+1/2,-z'
'-x+1/2,y+1/2,-z'
'x+1/2,-y+1/2,z'
loop_
_atom_site_label
_atom_site_type_symbol
_atom_site_fract_x
_atom_site_fract_y
_atom_site_fract_z
_atom_site_occupancy
Tb1 Tb 0.212 0.000 0.185 1
Tb2 Tb 0.235 0.326 0.183 1
H1 H 0.000 0.500 0.000 1
C1 C 0.000 0.166 0.000 1
Br1 Br 0.000 0.000 0.500 1
Br2 Br 0.000 0.332 0.500 1
```

Values from the calculation:
* size of the total moment: 0.000 μB per formula unit
* theoretical density: 7.935 g/cm³
* E_tot: -5.365 eV/atom
* calculated volume: 21.25 Å³ per atom

***

5.
Computed, not measured: a relaxed structure of Y6HC2Br3 at the PBE level of DFT.

The structure in CIF format:
```
data_Y6HC2Br3
_chemical_formula_sum 'Y12 H2 C4 Br6'
_cell_length_a 6.424
_cell_length_b 11.112
_cell_length_c 7.443
_cell_angle_alpha 90.00
_cell_angle_beta 106.89
_cell_angle_gamma 90.00
_symmetry_space_group_name_H-M 'C 1 2/m 1'
_symmetry_Int_Tables_number 12
loop_
_symmetry_equiv_pos_as_xyz
'x,y,z'
'-x,-y,-z'
'-x,y,-z'
'x,-y,z'
'x+1/2,y+1/2,z'
'-x+1/2,-y+1/2,-z'
'-x+1/2,y+1/2,-z'
'x+1/2,-y+1/2,z'
loop_
_atom_site_label
_atom_site_type_symbol
_atom_site_fract_x
_atom_site_fract_y
_atom_site_fract_z
_atom_site_occupancy
Y1 Y 0.212 0.000 0.183 1
Y2 Y 0.235 0.326 0.182 1
H1 H 0.000 0.500 0.000 1
C1 C 0.000 0.166 0.000 1
Br1 Br 0.000 0.000 0.500 1
Br2 Br 0.000 0.332 0.500 1
```

Values from the calculation:
* size of the total moment: 0.000 μB per formula unit
* theoretical density: 5.214 g/cm³
* E_tot: -6.284 eV/atom
* calculated volume: 21.18 Å³ per atom

***

6.
Computed, not measured: a relaxed structure of ZrHCBr2 at the PBE level of DFT.

The structure in CIF format:
```
data_ZrHCBr2
_chemical_formula_sum 'Zr1 H1 C1 Br2'
_cell_length_a 5.119
_cell_length_b 5.119
_cell_length_c 3.066
_cell_angle_alpha 90.00
_cell_angle_beta 90.00
_cell_angle_gamma 90.00
_symmetry_space_group_name_H-M 'P 4/m m m'
_symmetry_Int_Tables_number 123
_symmetry_space_group_name_Hall '-P 4 2'
loop_
_atom_site_label
_atom_site_type_symbol
_atom_site_fract_x
_atom_site_fract_y
_atom_site_fract_z
_atom_site_occupancy
Zr1 Zr 0.000 0.000 0.000 1
H1 H 0.500 0.500 0.000 1
C1 C 0.500 0.500 0.500 1
Br1 Br 0.000 0.500 0.500 1
```

Values from the calculation:
* size of the total moment: 0.151 μB per formula unit
* theoretical density: 5.456 g/cm³
* E_tot: -3.994 eV/atom
* calculated volume: 16.07 Å³ per atom

***

| no. | DOS at the Fermi energy (states/eV/cell) |
| --- | --- |
| 1 | 1.944 |
| 2 | 3.196 |
| 3 | 3.821 |
| 4 | 11.784 |
| 5 | 11.435 |
| 6 | 4.623 |